The following is a meta-GGA SCAN calculation of a PBEsol-optimized structure of TlP, from the Alexandria database.

```
data_TlP
_chemical_formula_sum 'Tl4 P4'
_cell_length_a 11.031
_cell_length_b 3.269
_cell_length_c 6.129
_cell_angle_alpha 90.00
_cell_angle_beta 122.52
_cell_angle_gamma 90.00
_space_group_name_H-M_alt 'C 1 2/m 1'
_space_group_IT_number 12
_space_group_name_Hall '-C 2y'
loop_
_atom_site_label
_atom_site_type_symbol
_atom_site_fract_x
_atom_site_fract_y
_atom_site_fract_z
Tl1 Tl 0.075 0.000 0.316
P1 P 0.210 0.500 0.858
```

Results
* formation energy from the elements: 0.099 eV per atom
* raw total energy: -330.23 eV per cell
* ρ: 8.4 Mg/m³